Entry 1:
The following is a DFT calculation (PBE-GGA) of a relaxed Cr2Ni3Pt4 crystal.

The value obtained for the formation energy is -0.1803 eV/atom. The calculation puts the density of states at the Fermi level at 1.3739 states/eV per atom. As for the crystal system: monoclinic. For the calculated total energy, the calculation gives -62.4 eV per cell.

a b c (Å): 3.811 4.603 7.948
angles (deg): 74.04 90.01 65.55
Site moments in Bohr magnetons follow the coordinates.
Fractional coordinates of all 9 atoms:
Cr1 0.672 0.656 0.228  2.12
Cr2 0.328 0.344 0.772  2.12
Ni1 0.336 0.329 0.452  -0.24
Ni2 0.664 0.671 0.548  -0.24
Ni3 0.000 0.000 0.000  -0.30
Pt1 0.665 0.670 0.888  -0.08
Pt2 0.335 0.330 0.112  -0.08
Pt3 0.010 0.980 0.335  -0.08
Pt4 0.990 0.020 0.665  -0.08



Entry 2:
The following is a DFT calculation (PBE-GGA) of a relaxed CrNiPt2 crystal.

The value obtained for the formation energy is -0.0933 eV/atom. The calculation puts the density of states at the Fermi level at 1.1782 states/eV per atom. As for the crystal system: orthorhombic. For the calculated total energy, the calculation gives -27.9 eV per cell.

a b c (Å): 4.072 2.699 5.153
angles (deg): 74.78 90.00 90.00
Site moments in Bohr magnetons follow the coordinates.
Fractional coordinates of all 4 atoms:
Cr1 0.000 0.690 0.494  1.36
Pt1 0.500 0.294 0.287  -0.01
Pt2 0.000 0.956 0.963  0.00
Ni1 0.500 0.560 0.755  0.11



Entry 3:
The following is a DFT calculation (PBE-GGA) of a relaxed CrNi6Pt8 crystal.

Its energy relative to the lowest polymorph listed for this composition is 25 meV/atom. The value obtained for the formation energy is 0.1166 eV/atom. The calculation puts the density of states at the Fermi level at 1.5498 states/eV per atom. As for the crystal system: trigonal. For the calculated total energy, the calculation gives -90.9 eV per cell.

a b c (Å): 5.053 7.189 7.189
angles (deg): 120.00 90.00 90.00
Site moments in Bohr magnetons follow the coordinates.
Fractional coordinates of all 15 atoms:
Ni1 0.346 0.340 0.962  0.56
Ni2 0.346 0.038 0.378  0.56
Ni3 0.654 0.378 0.340  0.56
Ni4 0.654 0.962 0.622  0.56
Ni5 0.346 0.622 0.660  0.56
Ni6 0.654 0.660 0.038  0.56
Pt1 0.156 0.712 0.022  0.15
Pt2 0.844 0.022 0.310  0.15
Pt3 0.844 0.690 0.712  0.15
Pt4 0.622 0.333 0.667  0.25
Pt5 0.156 0.310 0.288  0.15
Pt6 0.156 0.978 0.690  0.15
Pt7 0.844 0.288 0.978  0.15
Pt8 0.378 0.667 0.333  0.25
Cr1 0.500 0.000 0.000  2.87



Entry 4:
The following is a DFT calculation (PBE-GGA) of a relaxed Cr2Ni7Pt crystal.

The value obtained for the formation energy is 0.6339 eV/atom. The calculation puts the density of states at the Fermi level at 1.4056 states/eV per atom. As for the crystal system: orthorhombic. For the calculated total energy, the calculation gives -59.4 eV per cell.

a b c (Å): 3.617 7.079 7.079
angles (deg): 127.19 90.00 90.00
Site moments in Bohr magnetons follow the coordinates.
Fractional coordinates of all 10 atoms:
Ni1 0.500 0.296 0.083  -0.20
Ni2 0.500 0.083 0.296  -0.20
Ni3 0.000 0.804 0.196  -0.11
Ni4 0.500 0.917 0.704  -0.20
Ni5 0.000 0.196 0.804  -0.11
Ni6 0.500 0.500 0.500  -0.31
Ni7 0.500 0.704 0.917  -0.20
Cr1 0.500 0.304 0.696  2.09
Cr2 0.500 0.696 0.304  2.09
Pt1 0.000 0.000 0.000  -0.10



Entry 5:
The following is a DFT calculation (PBE-GGA) of a relaxed CrNiPt2 crystal.

The value obtained for the formation energy is 0.2222 eV/atom. The calculation puts the density of states at the Fermi level at 1.2064 states/eV per atom. As for the crystal system: tetragonal. For the calculated total energy, the calculation gives -53.2 eV per cell.

a b c (Å): 6.771 6.771 5.487
angles (deg): 51.91 51.91 90.00
Site moments in Bohr magnetons follow the coordinates.
Fractional coordinates of all 8 atoms:
Ni1 0.000 0.000 0.000  -0.49
Ni2 0.750 0.250 0.500  -0.50
Cr1 0.500 0.500 0.000  2.67
Cr2 0.250 0.750 0.500  2.67
Pt1 0.625 0.125 0.250  -0.11
Pt2 0.375 0.375 0.750  -0.11
Pt3 0.875 0.875 0.750  -0.10
Pt4 0.125 0.625 0.250  -0.11



Entry 6:
The following is a DFT calculation (PBE-GGA) of a relaxed CrNi12Pt2 crystal.

The value obtained for the formation energy is 0.2839 eV/atom. The calculation puts the density of states at the Fermi level at 1.4371 states/eV per atom. As for the crystal system: tetragonal. For the calculated total energy, the calculation gives -173.6 eV per cell.

a b c (Å): 4.719 4.719 16.933
angles (deg): 90.00 90.00 90.00
Site moments in Bohr magnetons follow the coordinates.
Fractional coordinates of all 30 atoms:
Ni1 0.225 0.725 0.896  -0.26
Ni2 0.500 0.500 0.342  -0.83
Ni3 0.174 0.674 0.562  -0.71
Ni4 0.326 0.174 0.562  -0.71
Ni5 0.225 0.275 0.104  -0.26
Ni6 0.000 0.000 0.658  -0.83
Ni7 0.500 0.500 0.795  -0.75
Ni8 0.674 0.826 0.562  -0.71
Ni9 0.674 0.174 0.438  -0.71
Ni10 0.000 0.000 0.342  -0.83
Ni11 0.500 0.500 0.658  -0.83
Ni12 0.000 0.000 0.795  -0.75
Ni13 0.174 0.326 0.438  -0.71
Ni14 0.326 0.826 0.438  -0.71
Ni15 0.826 0.674 0.438  -0.71
Ni16 0.775 0.725 0.104  -0.26
Ni17 0.500 0.500 0.205  -0.75
Ni18 0.775 0.275 0.896  -0.26
Ni19 0.275 0.775 0.104  -0.26
Ni20 0.725 0.775 0.896  -0.26
Ni21 0.275 0.225 0.896  -0.26
Ni22 0.000 0.000 0.205  -0.75
Ni23 0.826 0.326 0.562  -0.71
Ni24 0.725 0.225 0.104  -0.26
Pt1 0.000 0.500 0.724  -0.32
Pt2 0.500 0.000 0.276  -0.32
Pt3 0.500 0.000 0.724  -0.32
Pt4 0.000 0.500 0.276  -0.32
Cr1 0.000 0.500 0.000  1.78
Cr2 0.500 0.000 0.000  1.78